A relaxed structure of Sm2Zn3Ge4Pd, computed with GGA-PBE.

The total energy is -41.94 eV/cell. The energy of formation comes out at -0.50 eV/atom. The space group is P-4m2. The magnetic moment comes out at 0.00 μB per cell. The calculation puts the density of states at the Fermi level at 1.1 states/eV/cell.

Cell: 4.247 4.247 10.624 Å, 90.00 90.00 90.00°
Atoms (fractional coordinates):
1 Ge 0.000 0.000 0.000
2 Zn 0.500 0.000 0.863
3 Sm 0.000 0.500 0.742
4 Pd 0.500 0.500 0.500
5 Zn 0.000 0.500 0.137
6 Zn 0.000 0.000 0.500
7 Sm 0.500 0.000 0.258
8 Ge 0.500 0.000 0.636
9 Ge 0.000 0.500 0.364
10 Ge 0.500 0.500 0.000

=====

A relaxed structure of TbTlPtAu, computed with GGA-PBE.

The total energy is -18.79 eV/cell. The energy of formation comes out at -0.62 eV/atom. The space group is F-43m. The magnetic moment comes out at 0.00 μB per cell. The calculation puts the density of states at the Fermi level at 1.6 states/eV/cell.

Cell: 4.940 4.940 4.940 Å, 60.00 60.00 60.00°
Atoms (fractional coordinates):
1 Tl 0.000 0.000 0.000
2 Tb 0.500 0.500 0.500
3 Au 0.750 0.750 0.750
4 Pt 0.250 0.250 0.250

=====

A relaxed structure of NaMnC2, computed with GGA-PBE.

The value obtained for the energy above the most stable polymorph in this dataset is 1177 meV/atom. The total energy is -21.48 eV/cell. The energy of formation comes out at 1.86 eV/atom. The space group is Fm-3m. The magnetic moment comes out at 0.00 μB per cell. The calculation puts the density of states at the Fermi level at 3.6 states/eV/cell.

Cell: 3.724 3.724 3.724 Å, 60.00 60.00 60.00°
Atoms (fractional coordinates):
1 Na 0.000 0.000 0.000
2 Mn 0.500 0.500 0.500
3 C 0.750 0.750 0.750
4 C 0.250 0.250 0.250